# 1
A geometry-optimized AcSm2YTm5 structure. Source: Alexandria, functional GGA-PBE.

Geometry as POSCAR:
```
AcSm2YTm5
1.0
-4.427 4.427 7.613
4.427 -4.427 7.613
4.427 4.427 -7.613
Ac Sm Y Tm
2 4 2 10
Direct
0.250 0.250 0.000
0.750 0.750 0.000
0.115 0.615 0.730
0.385 0.115 0.500
0.615 0.885 0.500
0.885 0.385 0.270
0.250 0.750 0.500
0.750 0.250 0.500
0.000 0.000 0.000
0.076 0.163 0.500
0.163 0.663 0.087
0.337 0.424 0.500
0.424 0.924 0.087
0.500 0.500 0.000
0.576 0.076 0.913
0.663 0.576 0.500
0.837 0.337 0.913
0.924 0.837 0.500
```

Results
Calculated total energy   -4.44 eV/atom
Space-group type   I4/mcm
Calculated formation energy   264 meV/atom
DOS(E_F)   20.2 states/eV per cell



# 2
A geometry-optimized La2PaTcN5 structure. Source: Alexandria, functional GGA-PBE.

Geometry as POSCAR:
```
La2PaTcN5
1.0
3.890 0.000 0.000
0.000 3.890 0.000
0.000 0.000 8.724
La Pa Tc N
2 1 1 5
Direct
0.000 0.000 0.206
0.000 0.000 0.794
0.500 0.500 0.500
0.500 0.500 0.000
0.000 0.000 0.500
0.000 0.500 0.000
0.500 0.000 0.000
0.500 0.500 0.262
0.500 0.500 0.738
```

Results
Calculated total energy   -9.10 eV/atom
Space-group type   P4/mmm
DOS(E_F)   1.4 states/eV per cell
Uncorrected formation energy   -1.1702 eV/atom



# 3
A geometry-optimized LiLaSiSe2 structure. Source: Alexandria, functional GGA-PBE.

Geometry as POSCAR:
```
LiLaSiSe2
1.0
5.175 0.000 0.000
0.000 5.175 0.000
0.000 0.000 4.401
Li La Si Se
1 1 1 2
Direct
0.000 0.000 0.000
0.500 0.500 0.000
0.000 0.000 0.500
0.000 0.500 0.500
0.500 0.000 0.500
```

Results
Calculated total energy   -4.40 eV/atom
Space-group type   P4/mmm
DOS(E_F)   1.4 states/eV per cell
Uncorrected formation energy   -0.5545 eV/atom



# 4
A geometry-optimized MoBr structure. Source: Alexandria, functional GGA-PBE.

Geometry as POSCAR:
```
MoBr
1.0
3.241 0.000 0.000
1.364 2.942 0.000
0.735 0.634 9.435
Mo Br
2 2
Direct
0.222 0.214 0.093
0.778 0.786 0.907
0.125 0.148 0.700
0.875 0.852 0.300
```

Results
Calculated total energy   -6.30 eV/atom
Space-group type   P-1
Excess energy over the best structure of this formula in the dataset   29 meV/atom
DOS(E_F)   2.0 states/eV per cell
Uncorrected formation energy   -0.0454 eV/atom